[1]
# Ca2TmHg6

A relaxed Ca2TmHg6 crystal (PBE, Alexandria via LeMat-Bulk).

## Properties
Energy of formation from the pure elements: -0.42 eV per atom

a b c (Å): 9.338 9.338 5.481
angles (deg): 97.82 97.82 77.39
Atoms (fractional coordinates):
Ca (0.042, 0.291, 0.083)
Ca (0.291, 0.042, 0.583)
Ca (0.709, 0.958, 0.417)
Ca (0.958, 0.709, 0.917)
Tm (0.374, 0.626, 0.750)
Tm (0.626, 0.374, 0.250)
Hg (0.074, 0.813, 0.473)
Hg (0.155, 0.407, 0.640)
Hg (0.187, 0.926, 0.027)
Hg (0.271, 0.512, 0.194)
Hg (0.407, 0.155, 0.140)
Hg (0.488, 0.729, 0.306)
Hg (0.512, 0.271, 0.694)
Hg (0.593, 0.845, 0.860)
Hg (0.729, 0.488, 0.806)
Hg (0.813, 0.074, 0.973)
Hg (0.845, 0.593, 0.360)
Hg (0.926, 0.187, 0.527)

---

[2]
# Ac2ZnSb

A relaxed Ac2ZnSb crystal (PBE, Alexandria via LeMat-Bulk).

## Properties
Energy above the most stable polymorph in this dataset: 0 meV per atom
Formation energy from raw total energies: -0.6026 eV/atom

a b c (Å): 5.507 5.507 4.244
angles (deg): 90.00 90.00 90.00
Atoms (fractional coordinates):
Ac (0.000, 0.500, 0.000)
Ac (0.500, 0.000, 0.000)
Zn (0.000, 0.000, 0.500)
Sb (0.500, 0.500, 0.500)

---

[3]
# CdHg2Br

A relaxed CdHg2Br crystal (PBE, Alexandria via LeMat-Bulk).

## Properties
Energy above the most stable polymorph in this dataset: 29 meV per atom
Formation energy from raw total energies: -0.1671 eV/atom

a b c (Å): 3.772 3.772 8.960
angles (deg): 90.00 90.00 112.08
Atoms (fractional coordinates):
Cd (0.000, 0.000, 0.000)
Hg (0.000, 0.000, 0.519)
Hg (0.500, 0.500, 0.772)
Br (0.500, 0.500, 0.204)

---

[4]
# Fe2NiAs

A relaxed Fe2NiAs crystal (PBE, Alexandria via LeMat-Bulk).

## Properties
Energy of formation from the pure elements: -0.07 eV per atom

a b c (Å): 4.609 4.609 4.609
angles (deg): 134.56 134.56 66.22
Atoms (fractional coordinates):
Fe (0.250, 0.750, 0.500)
Fe (0.750, 0.250, 0.500)
Ni (0.000, 0.000, 0.000)
As (0.500, 0.500, 0.000)

---

[5]
# CsB3N3

A relaxed CsB3N3 crystal (PBE, Alexandria via LeMat-Bulk).

## Properties
Formation energy from raw total energies: 0.5316 eV/atom

a b c (Å): 4.987 4.987 4.987
angles (deg): 90.00 90.00 90.00
Atoms (fractional coordinates):
Cs (0.000, 0.000, 0.000)
Cs (0.500, 0.500, 0.500)
B (0.000, 0.250, 0.500)
B (0.000, 0.750, 0.500)
B (0.250, 0.500, 0.000)
B (0.500, 0.000, 0.250)
B (0.500, 0.000, 0.750)
B (0.750, 0.500, 0.000)
N (0.000, 0.500, 0.250)
N (0.000, 0.500, 0.750)
N (0.250, 0.000, 0.500)
N (0.500, 0.250, 0.000)
N (0.500, 0.750, 0.000)
N (0.750, 0.000, 0.500)

---

[6]
# LiAcLaAg

A relaxed LiAcLaAg crystal (PBE, Alexandria via LeMat-Bulk).

## Properties
Energy above the most stable polymorph in this dataset: 12 meV per atom
Energy of formation from the pure elements: -0.06 eV per atom

a b c (Å): 5.545 5.545 5.545
angles (deg): 60.00 60.00 60.00
Atoms (fractional coordinates):
Li (0.000, 0.000, 0.000)
Ac (0.750, 0.750, 0.750)
La (0.250, 0.250, 0.250)
Ag (0.500, 0.500, 0.500)

---

[7]
# LaHf

A relaxed LaHf crystal (PBE, Alexandria via LeMat-Bulk).

## Properties
Energy above the most stable polymorph in this dataset: 245 meV per atom
Energy of formation from the pure elements: 0.44 eV per atom

a b c (Å): 11.093 11.093 3.242
angles (deg): 90.00 90.00 120.00
Atoms (fractional coordinates):
La (0.063, 0.294, 0.250)
La (0.231, 0.937, 0.250)
La (0.294, 0.231, 0.750)
La (0.706, 0.769, 0.250)
La (0.769, 0.063, 0.750)
La (0.937, 0.706, 0.750)
Hf (0.139, 0.602, 0.250)
Hf (0.398, 0.537, 0.250)
Hf (0.463, 0.861, 0.250)
Hf (0.537, 0.139, 0.750)
Hf (0.602, 0.463, 0.750)
Hf (0.861, 0.398, 0.750)

---

[8]
# PuPaCoSi

A relaxed PuPaCoSi crystal (PBE, Alexandria via LeMat-Bulk).

## Properties
Formation energy from raw total energies: -0.1649 eV/atom

a b c (Å): 4.687 4.687 4.301
angles (deg): 90.00 90.00 120.00
Atoms (fractional coordinates):
Pu (0.000, 0.000, 0.000)
Pa (0.667, 0.333, 0.500)
Co (0.333, 0.667, 0.500)
Si (0.333, 0.667, 0.000)

---

Record-wise M_tot values, in μB/atom: 0.00, 0.00, 0.00, 1.37, 0.00, 0.00, 0.00, 1.67